Density functional theory data (PBE) for a relaxed MnCd3Br crystal.

The space group is Pm-3m (No. 221) and the conventional cell measures 5.651, 5.651 and 5.651 Å, with angles of 90.00, 90.00 and 90.00 degrees. The distinct sites, in fractional coordinates, are Mn at (0.000, 0.000, 0.000), Cd at (0.000, 0.500, 0.500) and Br at (0.500, 0.500, 0.500).

The uncorrected formation energy comes out at 0.883 eV/atom. Its density is 4.34 Mg/m³.